Entry from Alexandria: Ge2SbS2 after structural relaxation (PBE-GGA).

Lattice parameters (Å, degrees): 8.303 8.303 3.419 90.00 90.00 90.00
Element x y z (fractional)
Sb: 0.000 0.000 0.000
Sb: 0.500 0.500 0.000
Ge: 0.265 0.765 0.000
Ge: 0.765 0.735 0.000
Ge: 0.735 0.235 0.000
Ge: 0.235 0.265 0.000
S: 0.131 0.631 0.500
S: 0.631 0.869 0.500
S: 0.869 0.369 0.500
S: 0.369 0.131 0.500

Computed properties:
**DOS(E_F)**: 6.7 states/eV/cell
**Total DFT energy (no corrections)**: -42.574 eV/cell
**Calculated density**: 4.7 g cm⁻³
**Spin magnetization**: 0.00 μB/cell



Entry from Alexandria: Ge2SbS after structural relaxation (PBE-GGA).

Lattice parameters (Å, degrees): 4.896 4.896 4.896 60.00 60.00 60.00
Element x y z (fractional)
Sb: 0.500 0.500 0.500
Ge: 0.250 0.250 0.250
Ge: 0.750 0.750 0.750
S: 0.000 0.000 0.000

Computed properties:
**DOS(E_F)**: 3.1 states/eV/cell
**Total DFT energy (no corrections)**: -16.221 eV/cell
**Calculated density**: 6.0 g cm⁻³
**Spin magnetization**: 0.00 μB/cell
**E above lowest polymorph**: 13.1 kJ/mol of atoms



Entry from Alexandria: GeSb2S6 after structural relaxation (PBE-GGA).

Lattice parameters (Å, degrees): 5.997 5.997 11.744 90.00 90.00 90.00
Element x y z (fractional)
Ge: 0.000 0.000 0.000
Ge: 0.500 0.500 0.500
Sb: 0.000 0.000 0.334
Sb: 0.500 0.500 0.834
Sb: 0.500 0.500 0.166
Sb: 0.000 0.000 0.666
S: 0.312 0.312 0.343
S: 0.688 0.688 0.343
S: 0.188 0.812 0.843
S: 0.812 0.188 0.843
S: 0.188 0.812 0.157
S: 0.812 0.188 0.157
S: 0.312 0.312 0.657
S: 0.688 0.688 0.657
S: 0.298 0.298 0.000
S: 0.702 0.702 0.000
S: 0.202 0.798 0.500
S: 0.798 0.202 0.500

Computed properties:
**DOS(E_F)**: 10.3 states/eV/cell
**Total DFT energy (no corrections)**: -74.393 eV/cell
**Calculated density**: 4.0 g cm⁻³
**Spin magnetization**: 0.00 μB/cell



Entry from Alexandria: Ge2SbS after structural relaxation (PBE-GGA).

Lattice parameters (Å, degrees): 4.373 4.373 7.769 73.65 73.65 60.00
Element x y z (fractional)
Sb: 0.500 0.500 0.500
Ge: 0.102 0.102 0.693
Ge: 0.898 0.898 0.307
S: 0.000 0.000 0.000

Computed properties:
**DOS(E_F)**: 1.6 states/eV/cell
**Total DFT energy (no corrections)**: -16.684 eV/cell
**Calculated density**: 4.1 g cm⁻³
**Spin magnetization**: 0.00 μB/cell
**E above lowest polymorph**: 2.0 kJ/mol of atoms



Entry from Alexandria: Ge2SbS after structural relaxation (PBE-GGA).

Lattice parameters (Å, degrees): 5.554 5.554 8.171 70.13 70.13 90.00
Element x y z (fractional)
Sb: 0.000 0.000 0.000
Sb: 0.750 0.250 0.500
Ge: 0.577 0.125 0.250
Ge: 0.173 0.625 0.250
Ge: 0.375 0.423 0.750
Ge: 0.875 0.827 0.750
S: 0.500 0.500 0.000
S: 0.250 0.750 0.500

Computed properties:
**DOS(E_F)**: 1.9 states/eV/cell
**Total DFT energy (no corrections)**: -33.529 eV/cell
**Calculated density**: 4.5 g cm⁻³
**Spin magnetization**: 0.00 μB/cell
**E above lowest polymorph**: 0.0 kJ/mol of atoms



Entry from Alexandria: Ge2Sb2S7 after structural relaxation (PBE-GGA).

Lattice parameters (Å, degrees): 5.993 7.013 7.013 100.10 96.23 96.23
Element x y z (fractional)
Ge: 0.409 0.233 0.233
Ge: 0.591 0.767 0.767
Sb: 0.000 0.307 0.693
Sb: 0.000 0.693 0.307
S: 0.757 0.912 0.554
S: 0.243 0.446 0.088
S: 0.243 0.088 0.446
S: 0.757 0.554 0.912
S: 0.500 0.000 0.000
S: 0.250 0.601 0.601
S: 0.750 0.399 0.399

Computed properties:
**DOS(E_F)**: 0.3 states/eV/cell
**Total DFT energy (no corrections)**: -47.296 eV/cell
**Calculated density**: 3.6 g cm⁻³
**Spin magnetization**: 0.00 μB/cell



Entry from Alexandria: SnGeSb2S after structural relaxation (PBE-GGA).

Lattice parameters (Å, degrees): 5.245 5.577 5.245 90.00 90.00 90.00
Element x y z (fractional)
S: 0.500 0.500 0.500
Sb: 0.000 0.000 0.500
Sb: 0.500 0.000 0.000
Ge: 0.000 0.000 0.000
Sn: 0.000 0.500 0.000

Computed properties:
**DOS(E_F)**: 6.8 states/eV/cell
**Total DFT energy (no corrections)**: -17.084 eV/cell
**Calculated density**: 5.1 g cm⁻³
**Spin magnetization**: 0.00 μB/cell



Entry from Alexandria: SrGe2SbS6 after structural relaxation (PBE-GGA).

Lattice parameters (Å, degrees): 8.133 8.559 8.559 74.24 69.51 69.51
Element x y z (fractional)
Sr: 0.250 0.834 0.166
Sr: 0.750 0.166 0.834
Ge: 0.317 0.790 0.636
Ge: 0.183 0.364 0.210
Ge: 0.683 0.210 0.364
Ge: 0.817 0.636 0.790
Sb: 0.250 0.265 0.735
Sb: 0.750 0.735 0.265
S: 0.159 0.991 0.812
S: 0.341 0.188 0.009
S: 0.841 0.009 0.188
S: 0.659 0.812 0.991
S: 0.404 0.933 0.374
S: 0.096 0.626 0.067
S: 0.596 0.067 0.626
S: 0.904 0.374 0.933
S: 0.074 0.709 0.604
S: 0.426 0.396 0.291
S: 0.926 0.291 0.396
S: 0.574 0.604 0.709

Computed properties:
**DOS(E_F)**: 5.9 states/eV/cell
**Total DFT energy (no corrections)**: -91.099 eV/cell
**Calculated density**: 3.5 g cm⁻³
**Spin magnetization**: 0.00 μB/cell



Entry from Alexandria: TaGe2SbS after structural relaxation (PBE-GGA).

Lattice parameters (Å, degrees): 4.990 4.614 4.990 90.00 90.00 90.00
Site moments in Bohr magnetons follow the coordinates.
Element x y z (fractional)
Sb: 0.500 0.500 0.500  0.00
Ge: 0.000 0.000 0.500  0.01
Ge: 0.500 0.000 0.000  0.01
S: 0.000 0.000 0.000  -0.01
Ta: 0.000 0.500 0.000  0.49

Computed properties:
**DOS(E_F)**: 5.0 states/eV/cell
**Total DFT energy (no corrections)**: -26.154 eV/cell
**Calculated density**: 6.9 g cm⁻³
**Spin magnetization**: 0.76 μB/cell



Entry from Alexandria: Tb4GeSbS2 after structural relaxation (PBE-GGA).

Lattice parameters (Å, degrees): 4.129 7.099 7.191 70.46 90.00 90.00
Element x y z (fractional)
Tb: 0.000 0.762 0.734
Tb: 0.000 0.238 0.266
Tb: 0.500 0.755 0.258
Tb: 0.500 0.245 0.742
Ge: 0.000 0.500 0.500
Sb: 0.500 0.500 0.000
S: 0.000 0.000 0.000
S: 0.500 0.000 0.500

Computed properties:
**DOS(E_F)**: 1.6 states/eV/cell
**Total DFT energy (no corrections)**: -47.529 eV/cell
**Calculated density**: 7.5 g cm⁻³
**Spin magnetization**: 0.00 μB/cell



Entry from Alexandria: GeSbTe2S after structural relaxation (PBE-GGA).

Lattice parameters (Å, degrees): 5.285 5.285 5.508 90.00 90.00 90.00
Site moments in Bohr magnetons follow the coordinates.
Element x y z (fractional)
Sb: 0.000 0.000 0.500  -0.04
Ge: 0.000 0.000 0.000  0.01
Te: 0.000 0.500 0.000  0.06
Te: 0.500 0.000 0.000  0.06
S: 0.500 0.500 0.500  0.43

Computed properties:
**DOS(E_F)**: 6.3 states/eV/cell
**Total DFT energy (no corrections)**: -14.950 eV/cell
**Calculated density**: 5.2 g cm⁻³
**Spin magnetization**: 0.80 μB/cell
**E above lowest polymorph**: 26.5 kJ/mol of atoms



Entry from Alexandria: GeSb2TeS after structural relaxation (PBE-GGA).

Lattice parameters (Å, degrees): 5.224 5.224 5.236 90.00 90.00 90.00
Element x y z (fractional)
Sb: 0.000 0.500 0.000
Sb: 0.500 0.000 0.000
Ge: 0.500 0.500 0.500
Te: 0.000 0.000 0.500
S: 0.000 0.000 0.000

Computed properties:
**DOS(E_F)**: 4.1 states/eV/cell
**Total DFT energy (no corrections)**: -17.112 eV/cell
**Calculated density**: 5.5 g cm⁻³
**Spin magnetization**: 0.00 μB/cell
**E above lowest polymorph**: 0.0 kJ/mol of atoms



Entry from Alexandria: GeSb2TeS after structural relaxation (PBE-GGA).

Lattice parameters (Å, degrees): 5.392 5.392 5.202 90.00 90.00 90.00
Element x y z (fractional)
Sb: 0.000 0.500 0.000
Sb: 0.500 0.000 0.000
Ge: 0.000 0.000 0.000
Te: 0.000 0.000 0.500
S: 0.500 0.500 0.500

Computed properties:
**DOS(E_F)**: 6.2 states/eV/cell
**Total DFT energy (no corrections)**: -15.853 eV/cell
**Calculated density**: 5.2 g cm⁻³
**Spin magnetization**: 0.00 μB/cell
**E above lowest polymorph**: 24.3 kJ/mol of atoms



Entry from Alexandria: GeSbTe2S after structural relaxation (PBE-GGA).

Lattice parameters (Å, degrees): 5.225 5.225 5.269 90.00 90.00 90.00
Element x y z (fractional)
Sb: 0.000 0.000 0.500
Ge: 0.500 0.500 0.500
Te: 0.000 0.500 0.000
Te: 0.500 0.000 0.000
S: 0.000 0.000 0.000

Computed properties:
**DOS(E_F)**: 4.2 states/eV/cell
**Total DFT energy (no corrections)**: -16.325 eV/cell
**Calculated density**: 5.6 g cm⁻³
**Spin magnetization**: 0.00 μB/cell
**E above lowest polymorph**: 0.0 kJ/mol of atoms



Entry from Alexandria: Th4GeSb2S after structural relaxation (PBE-GGA).

Lattice parameters (Å, degrees): 4.322 7.646 7.438 70.78 90.00 90.00
Element x y z (fractional)
Th: 0.000 0.719 0.765
Th: 0.000 0.281 0.235
Th: 0.500 0.723 0.254
Th: 0.500 0.277 0.746
Ge: 0.000 0.500 0.500
Sb: 0.000 0.000 0.000
Sb: 0.500 0.000 0.500
S: 0.500 0.500 0.000

Computed properties:
**DOS(E_F)**: 3.9 states/eV/cell
**Total DFT energy (no corrections)**: -55.584 eV/cell
**Calculated density**: 9.1 g cm⁻³
**Spin magnetization**: 0.00 μB/cell



Entry from Alexandria: Th6Ge2SbS3 after structural relaxation (PBE-GGA).

Lattice parameters (Å, degrees): 4.236 8.403 9.365 101.22 103.07 90.00
Element x y z (fractional)
Th: 0.324 0.918 0.649
Th: 0.665 0.587 0.331
Th: 0.676 0.082 0.351
Th: 0.999 0.273 0.997
Th: 0.001 0.727 0.003
Th: 0.335 0.413 0.669
Ge: 0.833 0.668 0.667
Ge: 0.167 0.332 0.333
Sb: 0.500 0.000 0.000
S: 0.500 0.500 0.000
S: 0.836 0.168 0.672
S: 0.164 0.832 0.328

Computed properties:
**DOS(E_F)**: 7.9 states/eV/cell
**Total DFT energy (no corrections)**: -86.148 eV/cell
**Calculated density**: 9.2 g cm⁻³
**Spin magnetization**: 0.00 μB/cell



Entry from Alexandria: Tl2GeSbS4 after structural relaxation (PBE-GGA).

Lattice parameters (Å, degrees): 5.899 9.136 8.911 90.00 90.00 90.00
Element x y z (fractional)
Tl: 0.433 0.356 0.223
Tl: 0.433 0.356 0.777
Tl: 0.933 0.644 0.723
Tl: 0.933 0.644 0.277
Ge: 0.511 0.895 0.500
Ge: 0.011 0.105 0.000
Sb: 0.970 0.180 0.500
Sb: 0.470 0.820 0.000
S: 0.403 0.100 0.000
S: 0.903 0.900 0.500
S: 0.400 0.148 0.500
S: 0.900 0.852 0.000
S: 0.425 0.756 0.705
S: 0.925 0.244 0.205
S: 0.925 0.244 0.795
S: 0.425 0.756 0.295

Computed properties:
**DOS(E_F)**: 3.6 states/eV/cell
**Total DFT energy (no corrections)**: -64.052 eV/cell
**Calculated density**: 5.1 g cm⁻³
**Spin magnetization**: 0.00 μB/cell



Entry from Alexandria: TlGe2SbS6 after structural relaxation (PBE-GGA).

Lattice parameters (Å, degrees): 6.637 9.172 9.172 91.05 81.61 81.61
Element x y z (fractional)
Tl: 0.250 0.896 0.104
Tl: 0.750 0.104 0.896
Ge: 0.267 0.796 0.624
Ge: 0.233 0.376 0.204
Ge: 0.733 0.204 0.376
Ge: 0.767 0.624 0.796
Sb: 0.250 0.271 0.729
Sb: 0.750 0.729 0.271
S: 0.214 0.996 0.785
S: 0.286 0.215 0.004
S: 0.786 0.004 0.215
S: 0.714 0.785 0.996
S: 0.375 0.869 0.405
S: 0.125 0.595 0.131
S: 0.625 0.131 0.595
S: 0.875 0.405 0.869
S: 0.954 0.718 0.601
S: 0.546 0.399 0.282
S: 0.046 0.282 0.399
S: 0.454 0.601 0.718

Computed properties:
**Total DFT energy (no corrections)**: -84.837 eV/cell
**Calculated density**: 4.0 g cm⁻³
**Spin magnetization**: 0.00 μB/cell



Entry from Alexandria: Tm6Ge2SbS3 after structural relaxation (PBE-GGA).

Lattice parameters (Å, degrees): 4.044 8.059 8.989 102.20 103.00 90.00
Element x y z (fractional)
Tm: 0.327 0.907 0.654
Tm: 0.669 0.582 0.337
Tm: 0.673 0.093 0.346
Tm: 0.002 0.267 0.005
Tm: 0.998 0.733 0.995
Tm: 0.331 0.418 0.663
Ge: 0.833 0.666 0.667
Ge: 0.167 0.334 0.333
Sb: 0.500 0.000 0.000
S: 0.500 0.500 0.000
S: 0.835 0.166 0.670
S: 0.165 0.834 0.330

Computed properties:
**DOS(E_F)**: 2.1 states/eV/cell
**Total DFT energy (no corrections)**: -69.762 eV/cell
**Calculated density**: 8.2 g cm⁻³
**Spin magnetization**: 0.00 μB/cell



Entry from Alexandria: U2Ge2SbS2 after structural relaxation (PBE-GGA).

Lattice parameters (Å, degrees): 4.358 4.358 10.514 90.00 90.00 120.00
Site moments in Bohr magnetons follow the coordinates.
Element x y z (fractional)
U: 0.667 0.333 0.183  2.23
U: 0.333 0.667 0.817  2.23
Ge: 0.000 0.000 0.625  0.10
Ge: 0.000 0.000 0.375  0.10
Sb: 0.000 0.000 0.000  -0.07
S: 0.667 0.333 0.726  -0.05
S: 0.333 0.667 0.274  -0.05

Computed properties:
**DOS(E_F)**: 13.6 states/eV/cell
**Total DFT energy (no corrections)**: -45.981 eV/cell
**Calculated density**: 7.8 g cm⁻³
**Spin magnetization**: 5.31 μB/cell